The following is a DFT calculation (PBE) of crystalline K2BiPtBr at its relaxed geometry.

a b c (Å): 5.785 5.830 5.785
angles (deg): 90.00 90.00 90.00
Positions (direct):
1 K 0.000 0.000 0.500
2 K 0.500 0.000 0.000
3 Br 0.000 0.000 0.000
4 Bi 0.000 0.500 0.000
5 Pt 0.500 0.500 0.500

Results
* E_form (uncorrected): 149.5 meV per atom
* crystal system: tetragonal
* DOS at the Fermi energy: 3.594 states/eV per cell